Record 1
BeAl2Ge2: optimized geometry, PBE-GGA.

Values from the calculation:
formation energy from the elements	0.32	eV per atom
SG	P4/mbm, No. 127
V	168.4	Å³/cell
density of states at the Fermi level	0.2805	states/eV per atom
total DFT energy (no corrections)	-3.767	eV per atom

Cell lengths 6.198, 6.198, 4.385 Å; angles 90.00, 90.00, 90.00 degrees
Positions (direct):
Al (0.826, 0.326, 0.500)
Ge (0.646, 0.146, 0.000)
Ge (0.854, 0.646, 0.000)
Be (0.500, 0.500, 0.000)
Al (0.326, 0.174, 0.500)
Al (0.674, 0.826, 0.500)
Ge (0.146, 0.354, 0.000)
Ge (0.354, 0.854, 0.000)
Be (0.000, 0.000, 0.000)
Al (0.174, 0.674, 0.500)

Record 2
EuSeS: optimized geometry, PBE-GGA.

Values from the calculation:
SG	I4mm, No. 107
V	81.9	Å³/cell
density of states at the Fermi level	1.2544	states/eV per atom
raw formation energy	-1.2513	eV/atom
total DFT energy (no corrections)	-7.213	eV per atom

Cell lengths 3.981, 3.981, 5.883 Å; angles 109.78, 109.78, 90.00 degrees
Positions (direct):
Se (0.286, 0.286, 0.572)
Eu (0.656, 0.656, 0.313)
S (0.058, 0.058, 0.116)

Record 3
Ac4Sn5Ru2: optimized geometry, PBE-GGA.

Values from the calculation:
formation energy from the elements	-0.50	eV per atom
SG	P2/m, No. 10
V	334.1	Å³/cell
density of states at the Fermi level	0.6110	states/eV per atom
total DFT energy (no corrections)	-5.496	eV per atom

Cell lengths 4.720, 7.762, 9.120 Å; angles 90.97, 90.00, 90.00 degrees
Positions (direct):
Ac (0.500, 0.765, 0.599)
Ru (0.000, 0.933, 0.382)
Sn (0.000, 0.419, 0.651)
Ru (0.000, 0.067, 0.618)
Sn (0.000, 0.121, 0.132)
Ac (0.500, 0.788, 0.147)
Sn (0.000, 0.879, 0.868)
Ac (0.500, 0.235, 0.401)
Ac (0.500, 0.212, 0.853)
Sn (0.000, 0.500, 0.000)
Sn (0.000, 0.581, 0.349)

Record 4
Na2SmSi2O6: optimized geometry, PBE-GGA.

Values from the calculation:
SG	P-3, No. 147
V	202.2	Å³/cell
density of states at the Fermi level	0.1434	states/eV per atom
raw formation energy	-2.3415	eV/atom
total DFT energy (no corrections)	-6.701	eV per atom

Cell lengths 5.640, 5.640, 7.339 Å; angles 90.00, 90.00, 120.00 degrees
Positions (direct):
Si (0.667, 0.333, 0.211)
O (0.931, 0.300, 0.186)
Na (0.667, 0.333, 0.701)
Sm (0.000, 0.000, 0.000)
O (0.700, 0.631, 0.186)
Si (0.333, 0.667, 0.789)
O (0.631, 0.931, 0.814)
O (0.300, 0.369, 0.814)
Na (0.333, 0.667, 0.299)
O (0.369, 0.069, 0.186)
O (0.069, 0.700, 0.814)

Record 5
Ce2CSe: optimized geometry, PBE-GGA.

Values from the calculation:
SG	R3m, No. 160
V	87.5	Å³/cell
density of states at the Fermi level	1.7063	states/eV per atom
raw formation energy	-0.9408	eV/atom
total DFT energy (no corrections)	-7.085	eV per atom

Cell lengths 3.800, 3.800, 7.331 Å; angles 74.98, 74.98, 60.00 degrees
Positions (direct):
Ce (0.067, 0.067, 0.800)
C (0.669, 0.669, 0.994)
Ce (0.266, 0.266, 0.202)
Se (0.499, 0.499, 0.504)

Record 6
AlZnSb2: optimized geometry, PBE-GGA.

Values from the calculation:
energy above the most stable polymorph in this dataset	8.3	kJ per mole of atoms
SG	C2/m, No. 12
V	93.8	Å³/cell
density of states at the Fermi level	0.5456	states/eV per atom
raw formation energy	0.0764	eV/atom
total DFT energy (no corrections)	-3.239	eV per atom

Cell lengths 4.071, 4.071, 6.945 Å; angles 72.92, 72.92, 60.01 degrees
Positions (direct):
Sb (0.499, 0.499, 0.499)
Sb (0.001, 0.001, 0.001)
Zn (0.750, 0.750, 0.750)
Al (0.250, 0.250, 0.250)

Record 7
Ce2PrNdS4: optimized geometry, PBE-GGA.

Values from the calculation:
SG	P2/m, No. 10
V	189.1	Å³/cell
density of states at the Fermi level	1.4342	states/eV per atom
raw formation energy	-2.0370	eV/atom
total DFT energy (no corrections)	-6.778	eV per atom

Cell lengths 4.054, 7.033, 7.033 Å; angles 109.43, 90.00, 90.00 degrees
Positions (direct):
S (0.000, 0.750, 0.254)
S (0.500, 0.253, 0.255)
Ce (0.500, 0.000, 0.500)
Nd (0.500, 0.500, 0.000)
S (0.000, 0.250, 0.746)
S (0.500, 0.747, 0.745)
Pr (0.000, 0.000, 0.000)
Ce (0.000, 0.500, 0.500)

Record 8
La6SiP4: optimized geometry, PBE-GGA.

Values from the calculation:
SG	Cmcm, No. 63
V	638.9	Å³/cell
density of states at the Fermi level	0.4963	states/eV per atom
raw formation energy	-1.2980	eV/atom
total DFT energy (no corrections)	-6.446	eV per atom

Cell lengths 4.266, 7.323, 21.379 Å; angles 90.00, 90.00, 106.93 degrees
Positions (direct):
P (0.589, 0.179, 0.871)
La (0.048, 0.095, 0.163)
La (0.225, 0.451, 0.917)
P (0.862, 0.724, 0.957)
La (0.048, 0.095, 0.337)
La (0.685, 0.371, 0.750)
Si (0.338, 0.676, 0.750)
La (0.952, 0.905, 0.837)
P (0.411, 0.821, 0.371)
P (0.589, 0.179, 0.629)
P (0.411, 0.821, 0.129)
P (0.862, 0.724, 0.543)
La (0.775, 0.549, 0.417)
La (0.952, 0.905, 0.663)
Si (0.662, 0.324, 0.250)
La (0.225, 0.451, 0.583)
La (0.315, 0.629, 0.250)
P (0.138, 0.276, 0.457)
La (0.500, 0.000, 0.500)
La (0.500, 0.000, 0.000)
P (0.138, 0.276, 0.043)
La (0.775, 0.549, 0.083)